(1)
An optimized crystal structure of CsLiPm2O4. Source: Alexandria, functional PBE-GGA.

```
16
Lattice="-2.786 -1.545 -1.748 4.627 -4.441 0.329 -4.453 -3.860 10.510" Properties=species:S:1:pos:R:3 pbc="T T T"
Cs -2.704 -3.921 7.775
Cs 0.091 -5.926 1.316
Li -2.683 -6.973 6.663
Li 0.071 -2.874 2.428
Pm -0.120 -5.960 5.460
Pm -0.777 -2.400 -0.418
Pm -2.492 -3.887 3.631
Pm -1.836 -7.447 9.509
O 1.161 -2.954 0.760
O -2.420 -5.719 5.135
O -3.774 -6.893 8.331
O -0.193 -4.128 3.956
O -2.227 -1.930 5.255
O 0.000 0.000 0.000
O -0.818 -6.961 7.458
O -1.794 -2.886 1.633
```

Summary:
ΔE_f (raw)	-21.563	eV per formula unit
SG	No. 63



(2)
An optimized crystal structure of KZr3As. Source: Alexandria, functional PBE-GGA.

```
5
Lattice="-2.046 2.691 3.555 1.151 -3.460 3.282 4.308 2.203 0.812" Properties=species:S:1:pos:R:3 pbc="T T T"
As 1.706 0.717 3.825
K 0.000 0.000 0.000
Zr 0.575 -1.730 1.641
Zr 2.154 1.101 0.406
Zr -1.023 1.346 1.778
```

Summary:
E above lowest polymorph	1521	meV/atom
SG	No. 221
formation energy from the elements	9.5	eV per formula unit